(1)
Compound: SrPdO3
Source: OQMD via LeMat-Bulk
Functional: PBE
Structure: relaxed

```
SrPdO3
1.0
2.7939 -4.7608 0.0000
2.7939 4.7608 0.0000
0.0000 0.0000 9.7309
O Pd Sr
12 4 4
Direct
0.6207 0.6207 0.0000
0.6183 0.1060 0.0437
0.1750 0.3610 0.2206
0.1678 0.8322 0.2500
0.6390 0.8250 0.2794
0.8940 0.3817 0.4563
0.3793 0.3793 0.5000
0.3817 0.8940 0.5437
0.8250 0.6390 0.7206
0.8322 0.1678 0.7500
0.3610 0.1750 0.7794
0.1060 0.6183 0.9563
0.3689 0.7119 0.1125
0.2881 0.6311 0.3875
0.6311 0.2881 0.6125
0.7119 0.3689 0.8875
0.0514 0.0514 0.0000
0.6466 0.3534 0.2500
0.9486 0.9486 0.5000
0.3534 0.6466 0.7500
```

Properties
crystal system = orthorhombic
raw total energy = -0.2113 Ha/atom
density = 6.21 g cm⁻³
space-group type = No. 20

---

(2)
Compound: PuCo
Source: OQMD via LeMat-Bulk
Functional: PBE
Structure: relaxed

```
PuCo
1.0
2.8367 3.0524 0.6950
-3.8686 0.2909 1.6724
1.6350 -2.4789 4.2134
Co Pu
2 2
Direct
0.3333 0.6667 0.4371
0.0000 0.0000 0.9371
0.0000 0.0000 0.4379
0.3333 0.6667 0.9379
```

Properties
crystal system = hexagonal
raw total energy = -0.3702 Ha/atom
ΔH_f (0 K) = 105.0 kJ/mol of formula units
density = 12.63 g cm⁻³
space-group type = No. 194

---

(3)
Compound: YZrBe2
Source: OQMD via LeMat-Bulk
Functional: PBE
Structure: relaxed

```
YZrBe2
1.0
0.0000 3.3103 3.3103
3.3103 0.0000 3.3103
3.3103 3.3103 0.0000
Be Y Zr
2 1 1
Direct
0.0000 0.0000 0.0000
0.7500 0.7500 0.7500
0.5000 0.5000 0.5000
0.2500 0.2500 0.2500
```

Properties
crystal system = cubic
raw total energy = -0.1813 Ha/atom
density = 4.54 g cm⁻³
space-group type = No. 216

---

(4)
Compound: LiPuFe
Source: OQMD via LeMat-Bulk
Functional: PBE
Structure: relaxed

```
LiPuFe
1.0
0.0000 2.9340 2.9340
2.9340 0.0000 2.9340
2.9340 2.9340 0.0000
Fe Li Pu
1 1 1
Direct
0.2500 0.2500 0.2500
0.7500 0.7500 0.7500
0.0000 0.0000 0.0000
```

Properties
crystal system = cubic
raw total energy = -0.2378 Ha/atom
density = 10.09 g cm⁻³
relative energy among the computed polymorphs = 1250 meV/atom
space-group type = No. 216

---

(5)
Compound: NaNdS2O8
Source: OQMD via LeMat-Bulk
Functional: PBE
Structure: relaxed

```
NaNdS2O8
1.0
6.8957 0.0187 0.0182
-0.0851 6.2841 -0.0020
-1.0977 -0.8076 6.9310
Na Nd O S
2 2 16 4
Direct
0.6913 0.0569 0.2855
0.3087 0.9431 0.7145
0.1954 0.3616 0.2044
0.8046 0.6384 0.7956
0.1081 0.6956 0.0548
0.7054 0.6895 0.1202
0.3422 0.9982 0.1549
0.0279 0.0190 0.2523
0.5445 0.4075 0.2533
0.8934 0.4412 0.3166
0.2600 0.7535 0.3813
0.7027 0.7174 0.4614
0.2973 0.2826 0.5386
0.7400 0.2465 0.6187
0.1066 0.5588 0.6834
0.4555 0.5925 0.7467
0.9721 0.9810 0.7477
0.6578 0.0018 0.8451
0.2946 0.3105 0.8798
0.8919 0.3044 0.9452
0.1852 0.8678 0.2149
0.7124 0.5641 0.2868
0.2876 0.4359 0.7132
0.8148 0.1322 0.7851
```

Properties
crystal system = triclinic
raw total energy = -0.2406 Ha/atom
density = 3.97 g cm⁻³
space-group type = No. 2

---

(6)
Compound: KZrNb
Source: OQMD via LeMat-Bulk
Functional: PBE
Structure: relaxed

```
KZrNb
1.0
2.6198 2.6853 3.1453
-2.1218 3.6772 2.4379
-0.8007 -0.3944 4.8136
K Nb Zr
1 1 1
Direct
0.0000 0.0000 0.0000
0.2500 0.2500 0.2500
0.7500 0.7500 0.7500
```

Properties
crystal system = cubic
raw total energy = -0.1521 Ha/atom
density = 4.47 g cm⁻³
relative energy among the computed polymorphs = 527 meV/atom
space-group type = No. 216

---

(7)
Compound: BaFeB
Source: OQMD via LeMat-Bulk
Functional: PBE
Structure: relaxed

```
BaFeB
1.0
3.0477 -3.1888 0.2986
-0.2188 -2.9678 3.2696
-1.0915 -4.1912 -0.8882
B Ba Fe
1 1 1
Direct
0.2500 0.2500 0.2500
0.7500 0.7500 0.7500
0.0000 0.0000 0.0000
```

Properties
crystal system = cubic
raw total energy = -0.1536 Ha/atom
density = 5.54 g cm⁻³
relative energy among the computed polymorphs = 149 meV/atom
space-group type = No. 216

---

(8)
Compound: SrLuGa
Source: OQMD via LeMat-Bulk
Functional: PBE
Structure: relaxed

```
SrLuGa
1.0
0.0000 3.5856 3.5856
3.5856 0.0000 3.5856
3.5856 3.5856 0.0000
Ga Lu Sr
1 1 1
Direct
0.2500 0.2500 0.2500
0.0000 0.0000 0.0000
0.7500 0.7500 0.7500
```

Properties
crystal system = cubic
raw total energy = -0.1009 Ha/atom
density = 5.99 g cm⁻³
relative energy among the computed polymorphs = 0 meV/atom
space-group type = No. 216

---

(9)
Compound: Er2GeAu
Source: OQMD via LeMat-Bulk
Functional: PBE
Structure: relaxed

```
Er2GeAu
1.0
4.2340 0.0000 0.0000
0.0000 2.0147 5.4226
0.0000 -2.0147 5.4226
Au Er Ge
1 2 1
Direct
0.0000 0.9133 0.9133
0.5000 0.3604 0.3604
0.0000 0.6393 0.6393
0.5000 0.0870 0.0870
```

Properties
crystal system = orthorhombic
raw total energy = -0.1885 Ha/atom
density = 10.84 g cm⁻³
space-group type = No. 38

---

(10)
Compound: Nb4InCoC2
Source: OQMD via LeMat-Bulk
Functional: PBE
Structure: relaxed

```
Nb4InCoC2
1.0
3.1471 0.0000 0.0000
-1.5736 2.7255 0.0000
0.0000 0.0000 13.7213
C Co In Nb
2 1 1 4
Direct
0.0000 0.0000 0.2683
0.0000 0.0000 0.7317
0.3333 0.6667 0.5000
0.6667 0.3333 0.0000
0.3333 0.6667 0.1783
0.6667 0.3333 0.3595
0.6667 0.3333 0.6405
0.3333 0.6667 0.8217
```

Properties
crystal system = hexagonal
raw total energy = -0.3265 Ha/atom
density = 8.03 g cm⁻³
space-group type = No. 187

---

(11)
Compound: Nd3Y2HoCoTe2
Source: OQMD via LeMat-Bulk
Functional: PBE
Structure: relaxed

```
Nd3Y2HoCoTe2
1.0
-2.0966 -2.9250 1.7954
1.1430 -4.9709 -6.7635
5.6344 -0.1570 6.3239
Co Ho Nd Te Y
1 1 3 2 2
Direct
0.5000 0.0068 0.0068
0.0000 0.2304 0.2304
0.5000 0.4026 0.0014
0.5000 0.0014 0.4026
0.5000 0.5939 0.5939
0.0000 0.6672 0.3335
0.0000 0.3335 0.6672
0.0000 0.9987 0.7655
0.0000 0.7655 0.9987
```

Properties
crystal system = orthorhombic
raw total energy = -0.2105 Ha/atom
density = 7.22 g cm⁻³
space-group type = No. 38

---

(12)
Compound: Tb3Ni
Source: OQMD via LeMat-Bulk
Functional: PBE
Structure: relaxed

```
Tb3Ni
1.0
-2.1909 2.1909 5.2109
2.1909 -2.1909 5.2109
2.1909 2.1909 -5.2109
Ni Tb
1 3
Direct
0.0000 0.0000 0.0000
0.5000 0.5000 0.0000
0.7500 0.2500 0.5000
0.2500 0.7500 0.5000
```

Properties
crystal system = tetragonal
raw total energy = -0.1732 Ha/atom
ΔH_f (0 K) = 57.8 kJ/mol of formula units
density = 8.89 g cm⁻³
space-group type = No. 139